# Nb3CoTc, optimized geometry, DFT PBE-GGA
data_Nb3CoTc
_cell_length_a 4.533
_cell_length_b 4.533
_cell_length_c 4.533
_cell_angle_alpha 90.00
_cell_angle_beta 90.00
_cell_angle_gamma 90.00
_symmetry_space_group_name_H-M 'P m -3 m'
_symmetry_Int_Tables_number 221
_symmetry_space_group_name_Hall '-P 4 2 3'
loop_
_atom_site_label
_atom_site_fract_x
_atom_site_fract_y
_atom_site_fract_z
Nb1 0.000 0.000 0.500
Co1 0.000 0.000 0.000
Tc1 0.500 0.500 0.500
# Formation energy in eV/atom: 0.89
# Energy relative to the lowest polymorph listed for this composition in eV per atom: 0.000
# M_tot in μB per cell: 0.0